1.
An optimized crystal structure of MgCdGa14. Source: Alexandria, functional GGA-PBE.

Unit cell a=6.1276 b=6.1276 c=8.2257 alpha=90.00 beta=90.00 gamma=96.90
Last column: nearest neighbours and their distance in Å.
Element x y z (fractional)
Mg (0.0000, 0.0000, 0.0000)  12 Ga 2.96-3.06
Cd (0.5000, 0.5000, 0.0000)  12 Ga 2.95-3.14
Ga (0.0000, 0.0000, 0.5000)  12 Ga 2.84-3.06
Ga (0.0000, 0.5000, 0.0000)  8 Ga 2.91-3.14, 2 Cd 3.06, 2 Mg 3.06
Ga (0.0000, 0.5000, 0.5000)  12 Ga 2.87-3.06
Ga (0.2444, 0.7556, 0.2538)  10 Ga 2.87-3.10, 1 Mg 3.06, 1 Cd 3.14
Ga (0.2444, 0.7556, 0.7462)  10 Ga 2.87-3.10, 1 Mg 3.06, 1 Cd 3.14
Ga (0.2515, 0.2515, 0.2609)  10 Ga 2.82-3.14, 1 Cd 2.95, 1 Mg 2.96
Ga (0.2515, 0.2515, 0.7391)  10 Ga 2.82-3.14, 1 Cd 2.95, 1 Mg 2.96
Ga (0.5000, 0.0000, 0.0000)  8 Ga 2.91-3.14, 2 Cd 3.06, 2 Mg 3.06
Ga (0.5000, 0.0000, 0.5000)  12 Ga 2.87-3.06
Ga (0.5000, 0.5000, 0.5000)  12 Ga 2.82-3.10
Ga (0.7485, 0.7485, 0.2609)  10 Ga 2.82-3.14, 1 Cd 2.95, 1 Mg 2.96
Ga (0.7485, 0.7485, 0.7391)  10 Ga 2.82-3.14, 1 Cd 2.95, 1 Mg 2.96
Ga (0.7556, 0.2444, 0.2538)  10 Ga 2.87-3.10, 1 Mg 3.06, 1 Cd 3.14
Ga (0.7556, 0.2444, 0.7462)  10 Ga 2.87-3.10, 1 Mg 3.06, 1 Cd 3.14

Calculated values
DOS(E_F): 6.935 states/eV/f.u.
Total moment: 0.00 μB per formula unit
Theoretical density: 6.027 g/cm³
Total energy: -2.8024 eV per atom
Energy of formation: 0.003 eV per atom

---

2.
An optimized crystal structure of MgCdGa3. Source: Alexandria, functional GGA-PBE.

Unit cell a=6.7064 b=7.8738 c=9.0154 alpha=90.00 beta=121.14 gamma=90.00
Last column: nearest neighbours and their distance in Å.
Element x y z (fractional)
Mg (0.2057, 0.1313, 0.1318)  8 Ga 2.85-3.12, 2 Cd 3.18-3.19
Mg (0.2057, 0.3687, 0.6318)  8 Ga 2.85-3.12, 2 Cd 3.18-3.19
Mg (0.7943, 0.6313, 0.3682)  8 Ga 2.85-3.12, 2 Cd 3.18-3.19
Mg (0.7943, 0.8687, 0.8682)  8 Ga 2.85-3.12, 2 Cd 3.18-3.19
Cd (0.3079, 0.0032, 0.8061)  6 Ga 2.79-3.09, 1 Cd 3.09
Cd (0.3079, 0.4968, 0.3061)  6 Ga 2.79-3.09, 1 Cd 3.09
Cd (0.6921, 0.5032, 0.6939)  6 Ga 2.79-3.09, 1 Cd 3.09
Cd (0.6921, 0.9968, 0.1939)  6 Ga 2.79-3.09, 1 Cd 3.09
Ga (0.0867, 0.6776, 0.7472)  3 Ga 2.66-2.82, 2 Cd 2.79-2.87, 2 Mg 2.91-2.95
Ga (0.0867, 0.8224, 0.2472)  3 Ga 2.66-2.82, 2 Cd 2.79-2.87, 2 Mg 2.91-2.95
Ga (0.3156, 0.0882, 0.4861)  4 Ga 2.73-3.04, 2 Mg 2.85-2.90, 1 Cd 2.99
Ga (0.3156, 0.4118, 0.9861)  4 Ga 2.73-3.04, 2 Mg 2.85-2.90, 1 Cd 2.99
Ga (0.3182, 0.7364, 0.5810)  3 Ga 2.66-2.90, 2 Cd 2.84-2.95
Ga (0.3182, 0.7636, 0.0810)  3 Ga 2.66-2.90, 2 Cd 2.84-2.95
Ga (0.6818, 0.2364, 0.9190)  3 Ga 2.66-2.90, 2 Cd 2.84-2.95
Ga (0.6818, 0.2636, 0.4190)  3 Ga 2.66-2.90, 2 Cd 2.84-2.95
Ga (0.6844, 0.5882, 0.0139)  4 Ga 2.73-3.04, 2 Mg 2.85-2.90, 1 Cd 2.99
Ga (0.6844, 0.9118, 0.5139)  4 Ga 2.73-3.04, 2 Mg 2.85-2.90, 1 Cd 2.99
Ga (0.9133, 0.1776, 0.7528)  3 Ga 2.66-2.82, 2 Cd 2.79-2.87, 2 Mg 2.91-2.95
Ga (0.9133, 0.3224, 0.2528)  3 Ga 2.66-2.82, 2 Cd 2.79-2.87, 2 Mg 2.91-2.95

Calculated values
DOS(E_F): 1.358 states/eV/f.u.
Total moment: 0.00 μB per formula unit
Theoretical density: 5.639 g/cm³
Total energy: -2.3461 eV per atom
Energy above the most stable polymorph in this dataset: 0.111 kcal/mol of atoms
Energy of formation: -0.028 eV per atom